## PrNd3Ho2Er6 (PBE)

Data for a relaxed structure of PrNd3Ho2Er6.

```
PrNd3Ho2Er6
1.0
3.096 -5.361 0.000
3.096 5.361 0.000
-2.057 0.000 11.586
Pr Nd Ho Er
1 3 2 6
direct
0.000 0.000 0.000
0.167 0.833 0.500
0.500 0.500 0.500
0.833 0.167 0.500
0.333 0.667 0.000
0.667 0.333 0.000
0.083 0.417 0.248
0.251 0.251 0.752
0.417 0.083 0.248
0.583 0.917 0.752
0.749 0.749 0.248
0.917 0.583 0.752
```

Total DFT energy (no corrections) ... -4.616 eV per atom
Fermi-level density of states ... 1.2173 states/eV/atom
Formation energy from the elements ... 0.02 eV/atom